(1)
Entry from Alexandria via LeMat-Bulk: an optimized crystal structure of CaIrI (GGA-PBE).

Cell: 4.2156 4.2162 12.1948 Å, 88.10 88.00 61.58°
With the nearest neighbours (Å) after each atom.
Space group P-1 (No. 2)
Unique sites:
1 Ca 0.0121 0.0110 0.3231 (multiplicity 2)  3 I 3.11, 6 Ir 3.19-3.31
2 Ir 0.3260 0.3257 0.4990 (multiplicity 2)  3 Ir 2.42-2.52
3 I 0.3151 0.3177 0.8343 (multiplicity 2)  3 Ca 3.11

Calculated values
Raw total energy (eV per atom): -4.99
Spin magnetization (μB per cell): 0.00



(2)
Entry from Alexandria via LeMat-Bulk: an optimized crystal structure of CaIrI (GGA-PBE).

Cell: 4.5172 4.5172 8.2717 Å, 90.00 90.00 120.00°
With the nearest neighbours (Å) after each atom.
Space group P6_3/mmc (No. 194)
Unique sites:
1 Ca 0.0000 0.0000 0.0000 (multiplicity 2)  6 Ir 3.33, 6 I 3.33
2 Ir 0.3333 0.6667 0.2500 (multiplicity 2)  3 I 2.61
3 I 0.3333 0.6667 0.7500 (multiplicity 2)  3 Ir 2.61

Calculated values
Raw total energy (eV per atom): -4.32
Spin magnetization (μB per cell): 0.00



(3)
Entry from Alexandria via LeMat-Bulk: an optimized crystal structure of CaIrI (GGA-PBE).

Cell: 4.2130 4.2131 12.4083 Å, 99.63 90.39 118.39°
With the nearest neighbours (Å) after each atom.
Space group P1 (No. 1)
Unique sites:
1 Ca 0.0000 0.0000 0.0000 (multiplicity 1)  3 I 3.12, 6 Ir 3.19-3.31
2 Ca 0.1167 0.2304 0.3551 (multiplicity 1)  3 I 3.12, 6 Ir 3.19-3.31
3 Ir 0.3828 0.7909 0.1776 (multiplicity 1)  3 Ir 2.42-2.52
4 Ir 0.7312 0.4423 0.1776 (multiplicity 1)  3 Ir 2.42-2.52
5 I 0.2868 0.5589 0.8420 (multiplicity 1)  3 Ca 3.12
6 I 0.5071 0.9943 0.5132 (multiplicity 1)  3 Ca 3.12

Calculated values
Raw total energy (eV per atom): -4.99
Spin magnetization (μB per cell): 0.00



(4)
Entry from Alexandria via LeMat-Bulk: an optimized crystal structure of CaIrI (GGA-PBE).

Cell: 4.9756 5.4836 7.5628 Å, 72.82 73.10 64.12°
With the nearest neighbours (Å) after each atom.
Space group P1 (No. 1)
Unique sites:
1 Ca 0.0000 0.0000 0.0000 (multiplicity 1)  4 Ir 2.89-3.22, 1 I 3.16
2 Ca 0.4478 0.7630 0.4071 (multiplicity 1)  3 Ir 2.82-3.11, 1 I 3.09
3 Ir 0.6453 0.6141 0.0303 (multiplicity 1)  2 I 2.65-2.96, 1 Ir 2.66, 1 Ca 2.97
4 Ir 0.6960 0.2205 0.3403 (multiplicity 1)  1 Ir 2.66, 3 I 2.67-2.77, 2 Ca 2.82-2.89
5 I 0.1756 0.3815 0.2240 (multiplicity 1)  3 Ir 2.67-2.96
6 I 0.8021 0.8616 0.6808 (multiplicity 1)  2 Ir 2.65-2.77

Calculated values
Raw total energy (eV per atom): -4.35
Spin magnetization (μB per cell): 0.00



(5)
Entry from Alexandria via LeMat-Bulk: an optimized crystal structure of CaIrI2 (GGA-PBE).

Cell: 7.4388 7.4388 7.4388 Å, 90.00 90.00 90.00°
With the nearest neighbours (Å) after each atom.
Space group Fm-3m (No. 225)
Unique sites:
1 Ca 0.0000 0.0000 0.0000 (multiplicity 4)  8 I 3.22
2 Ir 0.0000 0.0000 0.5000 (multiplicity 4)  8 I 3.22
3 I 0.2500 0.2500 0.2500 (multiplicity 8)  4 Ca 3.22, 4 Ir 3.22

Calculated values
Raw total energy (eV per atom): -3.34
Spin magnetization (μB per cell): 4.22



(6)
Entry from Alexandria via LeMat-Bulk: an optimized crystal structure of CaIr2I (GGA-PBE).

Cell: 6.7791 6.7791 6.7791 Å, 90.00 90.00 90.00°
With the nearest neighbours (Å) after each atom.
Space group Fm-3m (No. 225)
Unique sites:
1 Ca 0.0000 0.0000 0.0000 (multiplicity 4)  8 Ir 2.94
2 Ir 0.2500 0.2500 0.2500 (multiplicity 8)  4 Ca 2.94, 4 I 2.94
3 I 0.0000 0.0000 0.5000 (multiplicity 4)  8 Ir 2.94

Calculated values
Raw total energy (eV per atom): -4.70
Spin magnetization (μB per cell): 3.73



(7)
Entry from Alexandria via LeMat-Bulk: an optimized crystal structure of LiCa2IrI (GGA-PBE).

Cell: 5.5155 5.5155 4.8481 Å, 90.00 90.00 90.00°
With the nearest neighbours (Å) after each atom.
Space group P4/mmm (No. 123)
Unique sites:
1 Li 0.0000 0.0000 0.0000 (multiplicity 1)  2 Ir 2.42
2 Ca 0.0000 0.5000 0.5000 (multiplicity 2)  2 Ir 2.76
3 Ir 0.0000 0.0000 0.5000 (multiplicity 1)  2 Li 2.42
4 I 0.5000 0.5000 0.0000 (multiplicity 1)  8 Ca 3.67, 4 Li 3.90

Calculated values
Raw total energy (eV per atom): -3.63
Spin magnetization (μB per cell): 0.00



(8)
Entry from Alexandria via LeMat-Bulk: an optimized crystal structure of CaMn2IrI (GGA-PBE).

Cell: 4.9390 4.9390 5.6537 Å, 90.00 90.00 90.00°
With the nearest neighbours (Å) after each atom.
Space group P4/mmm (No. 123)
Unique sites:
1 Ca 0.0000 0.0000 0.0000 (multiplicity 1)  2 Ir 2.83
2 Mn 0.0000 0.5000 0.5000 (multiplicity 2)  2 Ir 2.47
3 Ir 0.0000 0.0000 0.5000 (multiplicity 1)  4 Mn 2.47
4 I 0.5000 0.5000 0.0000 (multiplicity 1)  4 Ca 3.49, 8 Mn 3.75

Calculated values
Raw total energy (eV per atom): -5.93
Spin magnetization (μB per cell): 9.45



(9)
Entry from Alexandria via LeMat-Bulk: an optimized crystal structure of CaIrIN2 (GGA-PBE).

Cell: 3.9340 3.9340 6.9093 Å, 90.00 90.00 90.00°
With the nearest neighbours (Å) after each atom.
Space group P4/mmm (No. 123)
Unique sites:
1 Ca 0.0000 0.0000 0.0000 (multiplicity 1)  4 I 2.78
2 Ir 0.5000 0.5000 0.5000 (multiplicity 1)  4 N 1.97
3 I 0.5000 0.5000 0.0000 (multiplicity 1)  4 Ca 2.78
4 N 0.0000 0.5000 0.5000 (multiplicity 2)  2 Ir 1.97

Calculated values
Raw total energy (eV per atom): -5.35
Spin magnetization (μB per cell): 0.19



(10)
Entry from Alexandria via LeMat-Bulk: an optimized crystal structure of CaIrI2N (GGA-PBE).

Cell: 5.9954 5.9954 4.5196 Å, 90.00 90.00 90.00°
With the nearest neighbours (Å) after each atom.
Space group P4/mmm (No. 123)
Unique sites:
1 Ca 0.0000 0.0000 0.0000 (multiplicity 1)  2 N 2.26
2 Ir 0.5000 0.5000 0.5000 (multiplicity 1)  8 I 3.75
3 I 0.0000 0.5000 0.0000 (multiplicity 2)  2 Ca 3.00
4 N 0.0000 0.0000 0.5000 (multiplicity 1)  2 Ca 2.26

Calculated values
Raw total energy (eV per atom): -3.23
Spin magnetization (μB per cell): 4.56



(11)
Entry from Alexandria via LeMat-Bulk: an optimized crystal structure of CaIrIN2 (GGA-PBE).

Cell: 4.3593 4.3593 6.3878 Å, 90.00 90.00 90.00°
With the nearest neighbours (Å) after each atom.
Space group P4/mmm (No. 123)
Unique sites:
1 Ca 0.0000 0.0000 0.0000 (multiplicity 1)  4 N 2.18
2 Ir 0.5000 0.5000 0.5000 (multiplicity 1)  4 I 3.08
3 I 0.0000 0.0000 0.5000 (multiplicity 1)  4 Ir 3.08, 2 Ca 3.19
4 N 0.0000 0.5000 0.0000 (multiplicity 2)  2 Ca 2.18

Calculated values
Raw total energy (eV per atom): -3.87
Spin magnetization (μB per cell): 5.55



(12)
Entry from Alexandria via LeMat-Bulk: an optimized crystal structure of CaIrI2N (GGA-PBE).

Cell: 5.7872 5.7872 3.7636 Å, 90.00 90.00 90.00°
With the nearest neighbours (Å) after each atom.
Space group P4/mmm (No. 123)
Unique sites:
1 Ca 0.0000 0.0000 0.0000 (multiplicity 1)  8 I 3.45, 2 Ca 3.76
2 Ir 0.5000 0.5000 0.5000 (multiplicity 1)  2 N 1.88
3 I 0.0000 0.5000 0.5000 (multiplicity 2)  2 Ir 2.89
4 N 0.5000 0.5000 0.0000 (multiplicity 1)  2 Ir 1.88

Calculated values
Raw total energy (eV per atom): -4.64
Spin magnetization (μB per cell): 0.00



(13)
Entry from Alexandria via LeMat-Bulk: an optimized crystal structure of CaIr2SI (GGA-PBE).

Cell: 4.3765 4.3765 6.3378 Å, 90.00 90.00 90.00°
With the nearest neighbours (Å) after each atom.
Space group P4/mmm (No. 123)
Unique sites:
1 Ca 0.0000 0.0000 0.0000 (multiplicity 1)  4 I 3.09, 2 S 3.17
2 Ir 0.0000 0.5000 0.5000 (multiplicity 2)  2 S 2.19
3 S 0.0000 0.0000 0.5000 (multiplicity 1)  4 Ir 2.19
4 I 0.5000 0.5000 0.0000 (multiplicity 1)  4 Ca 3.09

Calculated values
Raw total energy (eV per atom): -5.02
Spin magnetization (μB per cell): 0.00



(14)
Entry from Alexandria via LeMat-Bulk: an optimized crystal structure of CaSbIrI2 (GGA-PBE).

Cell: 5.6339 5.6339 5.0848 Å, 90.00 90.00 90.00°
With the nearest neighbours (Å) after each atom.
Space group P4/mmm (No. 123)
Unique sites:
1 Ca 0.0000 0.0000 0.0000 (multiplicity 1)  8 I 3.79, 4 Sb 3.98
2 Sb 0.5000 0.5000 0.0000 (multiplicity 1)  2 Ir 2.54
3 Ir 0.5000 0.5000 0.5000 (multiplicity 1)  2 Sb 2.54, 4 I 2.82
4 I 0.0000 0.5000 0.5000 (multiplicity 2)  2 Ir 2.82

Calculated values
Raw total energy (eV per atom): -3.68
Spin magnetization (μB per cell): 0.00



(15)
Entry from Alexandria via LeMat-Bulk: an optimized crystal structure of CaSbIrI2 (GGA-PBE).

Cell: 5.7975 5.7975 6.3772 Å, 90.00 90.00 90.00°
With the nearest neighbours (Å) after each atom.
Space group P4/mmm (No. 123)
Unique sites:
1 Ca 0.0000 0.0000 0.0000 (multiplicity 1)  4 I 2.90, 2 Sb 3.19
2 Sb 0.0000 0.0000 0.5000 (multiplicity 1)  2 Ca 3.19
3 Ir 0.5000 0.5000 0.5000 (multiplicity 1)  4 Sb 4.10, 8 I 4.31
4 I 0.0000 0.5000 0.0000 (multiplicity 2)  2 Ca 2.90

Calculated values
Raw total energy (eV per atom): -2.67
Spin magnetization (μB per cell): 1.44



(16)
Entry from Alexandria via LeMat-Bulk: an optimized crystal structure of Ca2IrSeI (GGA-PBE).

Cell: 5.6930 5.6930 4.6517 Å, 90.00 90.00 90.00°
With the nearest neighbours (Å) after each atom.
Space group P4/mmm (No. 123)
Unique sites:
1 Ca 0.0000 0.5000 0.0000 (multiplicity 2)  2 Ir 2.85
2 Ir 0.0000 0.0000 0.0000 (multiplicity 1)  2 Se 2.33
3 Se 0.0000 0.0000 0.5000 (multiplicity 1)  2 Ir 2.33
4 I 0.5000 0.5000 0.5000 (multiplicity 1)  8 Ca 3.68, 4 Se 4.03

Calculated values
Raw total energy (eV per atom): -4.36
Spin magnetization (μB per cell): 0.00



(17)
Entry from Alexandria via LeMat-Bulk: an optimized crystal structure of CaSiIrI2 (GGA-PBE).

Cell: 5.7087 5.7087 4.5826 Å, 90.00 90.00 90.00°
With the nearest neighbours (Å) after each atom.
Space group P4/mmm (No. 123)
Unique sites:
1 Ca 0.0000 0.0000 0.0000 (multiplicity 1)  8 I 3.66, 4 Ir 4.04
2 Si 0.5000 0.5000 0.5000 (multiplicity 1)  2 Ir 2.29
3 Ir 0.5000 0.5000 0.0000 (multiplicity 1)  2 Si 2.29
4 I 0.0000 0.5000 0.5000 (multiplicity 2)  2 Si 2.85

Calculated values
Raw total energy (eV per atom): -3.76
Spin magnetization (μB per cell): 0.74



(18)
Entry from Alexandria via LeMat-Bulk: an optimized crystal structure of CaSn2IrI (GGA-PBE).

Cell: 5.7070 5.7070 5.5466 Å, 90.00 90.00 90.00°
With the nearest neighbours (Å) after each atom.
Space group P4/mmm (No. 123)
Unique sites:
1 Ca 0.0000 0.0000 0.0000 (multiplicity 1)  2 I 2.77
2 Sn 0.0000 0.5000 0.5000 (multiplicity 2)  2 I 2.85
3 Ir 0.5000 0.5000 0.0000 (multiplicity 1)  8 Sn 3.98, 4 Ca 4.04
4 I 0.0000 0.0000 0.5000 (multiplicity 1)  2 Ca 2.77, 4 Sn 2.85

Calculated values
Raw total energy (eV per atom): -2.84
Spin magnetization (μB per cell): 0.01



(19)
Entry from Alexandria via LeMat-Bulk: an optimized crystal structure of CaTcIrI2 (GGA-PBE).

Cell: 5.4242 5.4242 5.2716 Å, 90.00 90.00 90.00°
With the nearest neighbours (Å) after each atom.
Space group P4/mmm (No. 123)
Unique sites:
1 Ca 0.0000 0.0000 0.0000 (multiplicity 1)  2 Ir 2.64
2 Tc 0.5000 0.5000 0.0000 (multiplicity 1)  8 I 3.78, 4 Ca 3.84
3 Ir 0.0000 0.0000 0.5000 (multiplicity 1)  2 Ca 2.64, 4 I 2.71
4 I 0.0000 0.5000 0.5000 (multiplicity 2)  2 Ir 2.71

Calculated values
Raw total energy (eV per atom): -3.95
Spin magnetization (μB per cell): 4.19



(20)
Entry from Alexandria via LeMat-Bulk: an optimized crystal structure of CaTe2IrI (GGA-PBE).

Cell: 5.3392 5.3392 5.4711 Å, 90.00 90.00 90.00°
With the nearest neighbours (Å) after each atom.
Space group P4/mmm (No. 123)
Unique sites:
1 Ca 0.0000 0.0000 0.0000 (multiplicity 1)  4 I 3.78, 8 Te 3.82
2 Te 0.0000 0.5000 0.5000 (multiplicity 2)  2 Ir 2.67
3 Ir 0.5000 0.5000 0.5000 (multiplicity 1)  4 Te 2.67, 2 I 2.74
4 I 0.5000 0.5000 0.0000 (multiplicity 1)  2 Ir 2.74

Calculated values
Raw total energy (eV per atom): -3.91
Spin magnetization (μB per cell): 0.00